# VGaO3

A geometry-optimized VGaO3 structure (PBE with a Hubbard U, Alexandria via LeMat-Bulk).

Cell and atoms, written as CIF:
```
data_VGaO3
_space_group_name_H-M_alt 'P m -3 m'
_space_group_IT_number 221
_space_group_name_Hall '-P 4 2 3'
_cell_length_a 3.830
_cell_length_b 3.830
_cell_length_c 3.830
_cell_angle_alpha 90.00
_cell_angle_beta 90.00
_cell_angle_gamma 90.00
loop_
_atom_site_label
_atom_site_fract_x
_atom_site_fract_y
_atom_site_fract_z
V1 0.000 0.000 0.000
Ga1 0.500 0.500 0.500
O1 0.000 0.000 0.500
```

Summary:
Magnetic moment   0.30 μB/cell
Crystal system   cubic
DFT total energy   -6.404 eV per atom